(a)
A plane-wave DFT calculation with SCAN was carried out for a PBEsol-optimized structure of Li2NbFe3O8.

Output
Space group: R-3m
Crystal system: trigonal

Cell: 5.753 5.753 5.731 Å, 59.87 59.87 60.00°
Each line ends with the local moment (μB).
Fractional coordinates of all 14 atoms:
Li: 0.124 0.124 0.628  0.00
Li: 0.876 0.876 0.372  0.00
Nb: 0.500 0.500 0.500  -0.13
Fe: 0.500 0.000 0.000  1.00
Fe: 0.000 0.500 0.000  1.00
Fe: 0.500 0.500 0.000  1.00
O: 0.265 0.265 0.204  0.05
O: 0.735 0.735 0.796  0.05
O: 0.252 0.252 0.774  0.01
O: 0.723 0.252 0.774  0.01
O: 0.252 0.723 0.774  0.01
O: 0.748 0.277 0.226  0.01
O: 0.277 0.748 0.226  0.01
O: 0.748 0.748 0.226  0.01

***

(b)
A plane-wave DFT calculation with SCAN was carried out for a PBEsol-optimized structure of Li2NbFe3O8.

Output
Space group: P4_332
Crystal system: cubic

Cell: 8.109 8.109 8.109 Å, 90.00 90.00 90.00°
Each line ends with the local moment (μB).
Fractional coordinates of all 56 atoms:
Li: 0.989 0.989 0.989  0.00
Li: 0.261 0.261 0.261  0.00
Li: 0.239 0.739 0.761  0.00
Li: 0.511 0.011 0.489  0.00
Li: 0.489 0.511 0.011  0.00
Li: 0.761 0.239 0.739  0.00
Li: 0.739 0.761 0.239  0.00
Li: 0.011 0.489 0.511  0.00
Nb: 0.125 0.875 0.375  -0.12
Nb: 0.375 0.125 0.875  -0.12
Nb: 0.625 0.625 0.625  -0.12
Nb: 0.875 0.375 0.125  -0.12
Fe: 0.127 0.123 0.625  0.96
Fe: 0.125 0.373 0.877  0.96
Fe: 0.123 0.625 0.127  0.96
Fe: 0.377 0.375 0.627  0.96
Fe: 0.375 0.627 0.377  0.96
Fe: 0.373 0.877 0.125  0.96
Fe: 0.627 0.377 0.375  0.96
Fe: 0.625 0.127 0.123  0.96
Fe: 0.623 0.875 0.873  0.96
Fe: 0.877 0.125 0.373  0.96
Fe: 0.875 0.873 0.623  0.96
Fe: 0.873 0.623 0.875  0.96
O: 0.114 0.126 0.388  0.02
O: 0.112 0.886 0.626  0.02
O: 0.104 0.604 0.896  0.03
O: 0.124 0.136 0.862  0.02
O: 0.126 0.388 0.114  0.02
O: 0.146 0.354 0.646  0.03
O: 0.138 0.624 0.364  0.02
O: 0.136 0.862 0.124  0.02
O: 0.364 0.138 0.624  0.02
O: 0.362 0.376 0.864  0.02
O: 0.354 0.646 0.146  0.03
O: 0.374 0.612 0.614  0.02
O: 0.376 0.864 0.362  0.02
O: 0.396 0.396 0.396  0.03
O: 0.388 0.114 0.126  0.02
O: 0.386 0.874 0.888  0.02
O: 0.614 0.374 0.612  0.02
O: 0.612 0.614 0.374  0.02
O: 0.604 0.896 0.104  0.03
O: 0.624 0.364 0.138  0.02
O: 0.626 0.112 0.886  0.02
O: 0.646 0.146 0.354  0.03
O: 0.638 0.876 0.636  0.02
O: 0.636 0.638 0.876  0.02
O: 0.864 0.362 0.376  0.02
O: 0.862 0.124 0.136  0.02
O: 0.854 0.854 0.854  0.03
O: 0.874 0.888 0.386  0.02
O: 0.876 0.636 0.638  0.02
O: 0.896 0.104 0.604  0.03
O: 0.888 0.386 0.874  0.02
O: 0.886 0.626 0.112  0.02

***

Stability order, top to bottom: (a), (b)

***

(a)
A plane-wave DFT calculation with SCAN was carried out for a PBEsol-optimized structure of Li3FeO3.

Output
Space group: P4_2/mnm
Crystal system: tetragonal

Cell: 3.735 8.423 8.423 Å, 90.00 90.00 90.00°
Each line ends with the local moment (μB).
Fractional coordinates of all 28 atoms:
Li: 0.500 0.110 0.367  0.00
Li: 0.000 0.133 0.610  0.00
Li: 0.000 0.158 0.158  0.00
Li: 0.500 0.342 0.658  0.00
Li: 0.500 0.367 0.110  0.00
Li: 0.000 0.390 0.867  0.00
Li: 0.000 0.610 0.133  0.00
Li: 0.500 0.633 0.890  0.00
Li: 0.500 0.658 0.342  0.00
Li: 0.000 0.842 0.842  0.00
Li: 0.000 0.867 0.390  0.00
Li: 0.500 0.890 0.633  0.00
Fe: 0.500 0.119 0.881  2.68
Fe: 0.000 0.381 0.381  2.68
Fe: 0.000 0.619 0.619  2.68
Fe: 0.500 0.881 0.119  2.68
O: 0.500 0.104 0.104  0.06
O: 0.500 0.113 0.670  0.11
O: 0.000 0.170 0.387  0.11
O: 0.500 0.330 0.887  0.11
O: 0.000 0.387 0.170  0.11
O: 0.000 0.396 0.604  0.06
O: 0.000 0.604 0.396  0.06
O: 0.000 0.613 0.830  0.11
O: 0.500 0.670 0.113  0.11
O: 0.000 0.830 0.613  0.11
O: 0.500 0.887 0.330  0.11
O: 0.500 0.896 0.896  0.06

***

(b)
A plane-wave DFT calculation with SCAN was carried out for a PBEsol-optimized structure of Li3FeO3.

Output
Space group: P2_1/c
Crystal system: monoclinic

Cell: 5.288 5.289 11.180 Å, 90.00 90.00 115.49°
Each line ends with the local moment (μB).
Fractional coordinates of all 28 atoms:
Li: 0.769 0.237 0.249  0.00
Li: 0.738 0.238 0.500  0.00
Li: 0.762 0.262 0.000  0.00
Li: 0.731 0.263 0.749  0.00
Li: 0.789 0.708 0.625  0.00
Li: 0.711 0.792 0.125  0.00
Li: 0.289 0.208 0.875  0.00
Li: 0.211 0.292 0.375  0.00
Li: 0.269 0.737 0.251  0.00
Li: 0.238 0.738 0.000  0.00
Li: 0.262 0.762 0.500  0.00
Li: 0.231 0.763 0.751  0.00
Fe: 0.783 0.721 0.361  4.01
Fe: 0.717 0.779 0.861  4.01
Fe: 0.283 0.221 0.139  4.01
Fe: 0.217 0.279 0.639  4.01
O: 0.990 0.513 0.370  0.21
O: 0.840 0.659 0.991  0.27
O: 0.013 0.983 0.750  0.29
O: 0.490 0.013 0.130  0.21
O: 0.487 0.517 0.250  0.29
O: 0.340 0.159 0.509  0.27
O: 0.660 0.841 0.491  0.27
O: 0.513 0.483 0.750  0.29
O: 0.510 0.987 0.870  0.21
O: 0.987 0.017 0.250  0.29
O: 0.160 0.341 0.009  0.27
O: 0.010 0.487 0.630  0.21

***

Stability order, top to bottom: (a), (b)